Entry 1
{
  "formula": "LaMgSc2Fe",
  "functional": "PBE",
  "state": "relaxed",
  "magnetic_moment_mub_per_cell": 0.00,
  "lattice": [[5.007, 0.000, 0.000], [0.000, 5.007, 0.000], [0.000, 0.000, 5.074]],
  "species": ["La", "Mg", "Sc", "Sc", "Fe"],
  "frac_coords": [[0.000, 0.000, 0.000], [0.500, 0.500, 0.000], [0.000, 0.500, 0.500], [0.500, 0.000, 0.500], [0.000, 0.000, 0.500]]
}

***

Entry 2
{
  "formula": "LaMgSc2Fe",
  "functional": "PBE",
  "state": "relaxed",
  "magnetic_moment_mub_per_cell": 0.00,
  "lattice": [[4.824, 0.000, 0.000], [0.000, 4.824, 0.000], [0.000, 0.000, 5.177]],
  "species": ["La", "Mg", "Sc", "Sc", "Fe"],
  "frac_coords": [[0.000, 0.000, 0.000], [0.500, 0.500, 0.000], [0.000, 0.500, 0.500], [0.500, 0.000, 0.500], [0.500, 0.500, 0.500]]
}

***

Most stable of them? entry 2.

***

Entry 1
{
  "formula": "La2MgTlFe",
  "functional": "PBE",
  "state": "relaxed",
  "magnetic_moment_mub_per_cell": 0.06,
  "lattice": [[5.190, 0.000, 0.000], [0.000, 5.190, 0.000], [0.000, 0.000, 5.236]],
  "species": ["La", "La", "Mg", "Tl", "Fe"],
  "frac_coords": [[0.000, 0.500, 0.000], [0.500, 0.000, 0.000], [0.000, 0.000, 0.500], [0.500, 0.500, 0.500], [0.500, 0.500, 0.000]]
}

***

Entry 2
{
  "formula": "La2MgTlFe",
  "functional": "PBE",
  "state": "relaxed",
  "magnetic_moment_mub_per_cell": 0.00,
  "lattice": [[5.107, 0.000, 0.000], [0.000, 5.107, 0.000], [0.000, 0.000, 5.209]],
  "species": ["La", "La", "Mg", "Tl", "Fe"],
  "frac_coords": [[0.000, 0.500, 0.000], [0.500, 0.000, 0.000], [0.000, 0.000, 0.500], [0.500, 0.500, 0.500], [0.000, 0.000, 0.000]]
}

***

Most stable of them? entry 2.

***

Entry 1
{
  "formula": "LaY2MgFe",
  "functional": "PBE",
  "state": "relaxed",
  "magnetic_moment_mub_per_cell": 0.00,
  "lattice": [[5.333, 0.000, 0.000], [0.000, 5.333, 0.000], [0.000, 0.000, 5.088]],
  "species": ["La", "Y", "Y", "Mg", "Fe"],
  "frac_coords": [[0.000, 0.000, 0.000], [0.000, 0.500, 0.500], [0.500, 0.000, 0.500], [0.500, 0.500, 0.000], [0.000, 0.000, 0.500]]
}

***

Entry 2
{
  "formula": "LaY2MgFe",
  "functional": "PBE",
  "state": "relaxed",
  "magnetic_moment_mub_per_cell": 0.00,
  "lattice": [[5.138, 0.000, 0.000], [0.000, 5.138, 0.000], [0.000, 0.000, 5.285]],
  "species": ["La", "Y", "Y", "Mg", "Fe"],
  "frac_coords": [[0.000, 0.000, 0.000], [0.000, 0.500, 0.500], [0.500, 0.000, 0.500], [0.500, 0.500, 0.000], [0.500, 0.500, 0.500]]
}

***

Most stable of them? entry 1.